# 1
Material: InAsRh2
Method: DFT, PBE
State: optimized geometry

Calculated density = 9.54 g cm⁻³
DOS(E_F) = 2.86 states/eV/f.u.
Crystal system = monoclinic
DFT formation energy = -0.89 eV per formula unit

a = 4.690 Å, b = 3.082 Å, c = 4.933 Å
α = 74.94°, β = 90.00°, γ = 90.00°
Element x y z (fractional)
Rh  0.500  0.402  0.293
Rh  0.000  0.031  0.017
In  0.500  0.718  0.761
As  0.000  0.349  0.430

***

# 2
Material: InAsRh2
Method: DFT, PBE
State: optimized geometry

Calculated density = 10.09 g cm⁻³
DOS(E_F) = 2.19 states/eV/f.u.
Crystal system = orthorhombic
DFT formation energy = -0.88 eV per formula unit

a = 6.876 Å, b = 4.582 Å, c = 3.118 Å
α = 90.00°, β = 63.04°, γ = 126.59°
Element x y z (fractional)
Rh  0.000  0.000  0.000
Rh  0.500  0.000  0.500
As  0.000  0.500  0.500
In  0.500  0.500  0.000

***

# 3
Material: InAs2Rh
Method: DFT, PBE
State: optimized geometry

Calculated density = 8.14 g cm⁻³
DOS(E_F) = 2.88 states/eV/f.u.
Crystal system = orthorhombic
DFT formation energy = -0.12 eV per formula unit

a = 3.106 Å, b = 3.106 Å, c = 7.766 Å
α = 90.00°, β = 90.00°, γ = 90.27°
Element x y z (fractional)
As  0.000  0.000  0.951
As  0.500  0.500  0.253
In  0.000  0.000  0.525
Rh  0.500  0.500  0.771

***

# 4
Material: InAs2Rh
Method: DFT, PBE
State: optimized geometry

Calculated density = 7.47 g cm⁻³
DOS(E_F) = 2.33 states/eV/f.u.
Crystal system = monoclinic
DFT formation energy = -0.65 eV per formula unit

a = 3.829 Å, b = 3.829 Å, c = 6.814 Å
α = 73.61°, β = 73.61°, γ = 59.86°
Element x y z (fractional)
In  0.750  0.750  0.750
As  0.981  0.981  0.059
As  0.519  0.519  0.441
Rh  0.250  0.250  0.250

***

# 5
Material: InAs2Rh
Method: DFT, PBE
State: optimized geometry

Calculated density = 7.09 g cm⁻³
DOS(E_F) = 1.63 states/eV/f.u.
Crystal system = monoclinic
DFT formation energy = -0.72 eV per formula unit

a = 4.044 Å, b = 4.746 Å, c = 4.922 Å
α = 65.72°, β = 90.00°, γ = 90.00°
Element x y z (fractional)
In  0.500  0.250  0.250
As  0.000  0.544  0.602
As  0.000  0.956  0.898
Rh  0.500  0.750  0.750

***

# 6
Material: In4AsRh
Method: DFT, PBE
State: optimized geometry

Calculated density = 7.46 g cm⁻³
DOS(E_F) = 5.66 states/eV/f.u.
Crystal system = cubic
DFT formation energy = 3.32 eV per formula unit

a = 5.852 Å, b = 5.852 Å, c = 5.852 Å
α = 60.00°, β = 60.00°, γ = 60.00°
Element x y z (fractional)
As  0.000  0.000  0.000
In  0.375  0.375  0.375
In  0.375  0.375  0.874
In  0.375  0.874  0.375
In  0.874  0.375  0.375
Rh  0.750  0.750  0.750

***

# 7
Material: InAsRh3
Method: DFT, PBE
State: optimized geometry

Calculated density = 8.77 g cm⁻³
DOS(E_F) = 7.16 states/eV/f.u.
Crystal system = cubic
ΔE to the lowest computed polymorph = 0.00 eV per formula unit
DFT formation energy = 0.73 eV per formula unit

a = 4.553 Å, b = 4.553 Å, c = 4.553 Å
α = 90.00°, β = 90.00°, γ = 90.00°
Element x y z (fractional)
Rh  0.500  0.000  0.000
Rh  0.000  0.500  0.000
Rh  0.000  0.000  0.500
In  0.500  0.500  0.500
As  0.000  0.000  0.000

***

# 8
Material: InAsRh2
Method: DFT, PBE
State: optimized geometry

Calculated density = 10.10 g cm⁻³
DOS(E_F) = 3.98 states/eV/f.u.
Crystal system = tetragonal
DFT formation energy = -0.83 eV per formula unit

a = 4.414 Å, b = 4.413 Å, c = 3.340 Å
α = 90.00°, β = 90.00°, γ = 90.00°
Element x y z (fractional)
Rh  0.000  0.000  0.000
Rh  0.500  0.500  0.000
In  0.000  0.500  0.500
As  0.500  0.000  0.500

***

# 9
Material: InAsRh2
Method: DFT, PBE
State: optimized geometry

Calculated density = 9.85 g cm⁻³
DOS(E_F) = 1.26 states/eV/f.u.
Crystal system = trigonal
DFT formation energy = -1.05 eV per formula unit

a = 8.108 Å, b = 8.108 Å, c = 8.108 Å
α = 22.19°, β = 22.19°, γ = 22.19°
Element x y z (fractional)
In  0.750  0.750  0.750
Rh  0.991  0.991  0.991
Rh  0.509  0.509  0.509
As  0.250  0.250  0.250

***

# 10
Material: InAs2Rh
Method: DFT, PBE
State: optimized geometry

Calculated density = 7.87 g cm⁻³
DOS(E_F) = 1.81 states/eV/f.u.
Crystal system = orthorhombic
DFT formation energy = -0.44 eV per formula unit

a = 6.185 Å, b = 6.185 Å, c = 6.185 Å
α = 151.89°, β = 135.66°, γ = 53.33°
Element x y z (fractional)
In  0.750  0.250  0.500
As  0.056  0.056  0.000
As  0.444  0.444  0.000
Rh  0.250  0.750  0.500

***

# 11
Material: InAsRhSe2
Method: DFT, PBE
State: optimized geometry

Calculated density = 6.14 g cm⁻³
DOS(E_F) = 5.42 states/eV/f.u.
Crystal system = tetragonal
ΔE to the lowest computed polymorph = 0.00 eV per formula unit

a = 5.166 Å, b = 5.166 Å, c = 4.566 Å
α = 90.00°, β = 90.00°, γ = 90.00°
Element x y z (fractional)
Se  0.000  0.500  0.000
Se  0.500  0.000  0.000
Rh  0.000  0.000  0.000
As  0.000  0.000  0.500
In  0.500  0.500  0.500

***

# 12
Material: InAsRhSe2
Method: DFT, PBE
State: optimized geometry

Calculated density = 5.37 g cm⁻³
DOS(E_F) = 6.28 states/eV/f.u.
Crystal system = tetragonal
ΔE to the lowest computed polymorph = 4.79 eV per formula unit

a = 5.201 Å, b = 5.201 Å, c = 5.149 Å
α = 90.00°, β = 90.00°, γ = 90.00°
Element x y z (fractional)
As  0.000  0.000  0.500
Se  0.000  0.500  0.000
Se  0.500  0.000  0.000
Rh  0.500  0.500  0.500
In  0.000  0.000  0.000

***

no.,uncorrected energy (eV per atom),total magnetic moment (μB per atom)
1,-5.746,0.0000
2,-5.742,0.0000
3,-4.877,0.0000
4,-5.010,0.0000
5,-5.028,0.0000
6,-3.272,0.0001
7,-5.742,0.0000
8,-5.731,0.0001
9,-5.785,0.0000
10,-4.958,0.0000
11,-4.172,0.0000
12,-3.215,0.2289